w.
LiNiAs2Br | PBE | relaxed

The structure belongs to space group P4/mmm (No. 123); the cell edges are 4.342, 4.342 and 6.846 Å and the angles 90.00°, 90.00° and 90.00°. The distinct sites, in fractional coordinates, are Li at (0.000, 0.000, 0.000), Ni at (0.000, 0.000, 0.500), As at (0.000, 0.500, 0.500) and Br at (0.500, 0.500, 0.000).

As for the size of the total moment: 0.000 μB/f.u. For the mass density, the calculation gives 3801 kg/m3.


x.
LiNiAs2Br | PBE | relaxed

The structure belongs to space group P4/mmm (No. 123); the cell edges are 4.513, 4.513 and 4.861 Å and the angles 90.00°, 90.00° and 90.00°. The distinct sites, in fractional coordinates, are Li at (0.000, 0.000, 0.000), Ni at (0.500, 0.500, 0.500), As at (0.000, 0.500, 0.000) and Br at (0.000, 0.000, 0.500).

As for the size of the total moment: 0.303 μB/f.u. For the mass density, the calculation gives 4955 kg/m3.


y.
LiNiAs2Br | PBE | relaxed

The structure belongs to space group P4/mmm (No. 123); the cell edges are 4.327, 4.327 and 9.043 Å and the angles 90.00°, 90.00° and 90.00°. The distinct sites, in fractional coordinates, are Li at (0.000, 0.000, 0.000), Ni at (0.500, 0.500, 0.500), As at (0.000, 0.500, 0.500) and Br at (0.500, 0.500, 0.000).

As for the size of the total moment: 0.000 μB/f.u. For the mass density, the calculation gives 2896 kg/m3.


Stability summary: most stable w, least stable x.


w.
LiAsPBr2 | PBE | relaxed

The structure belongs to space group P4/mmm (No. 123); the cell edges are 4.639, 4.639 and 5.315 Å and the angles 90.00°, 90.00° and 90.00°. The distinct sites, in fractional coordinates, are Li at (0.000, 0.000, 0.000), As at (0.000, 0.000, 0.500), P at (0.500, 0.500, 0.500) and Br at (0.000, 0.500, 0.000).

As for the size of the total moment: 0.506 μB/f.u. For the mass density, the calculation gives 3958 kg/m3.


x.
LiAsPBr2 | PBE | relaxed

The structure belongs to space group P4/mmm (No. 123); the cell edges are 5.437, 5.437 and 4.728 Å and the angles 90.00°, 90.00° and 90.00°. The distinct sites, in fractional coordinates, are Li at (0.000, 0.000, 0.000), As at (0.500, 0.500, 0.000), P at (0.500, 0.500, 0.500) and Br at (0.000, 0.500, 0.500).

As for the size of the total moment: 0.549 μB/f.u. For the mass density, the calculation gives 3239 kg/m3.


Stability summary: most stable x, least stable w.


w.
RbLiAsBr2 | PBE | relaxed

The structure belongs to space group P4/mmm (No. 123); the cell edges are 6.489, 6.489 and 6.418 Å and the angles 90.00°, 90.00° and 90.00°. The distinct sites, in fractional coordinates, are Rb at (0.000, 0.000, 0.000), Li at (0.500, 0.500, 0.500), As at (0.000, 0.000, 0.500) and Br at (0.000, 0.500, 0.000).

As for the size of the total moment: 3.064 μB/f.u. For the mass density, the calculation gives 2010 kg/m3.


x.
RbLiAsBr2 | PBE | relaxed

The structure belongs to space group P4/mmm (No. 123); the cell edges are 5.458, 5.458 and 5.340 Å and the angles 90.00°, 90.00° and 90.00°. The distinct sites, in fractional coordinates, are Rb at (0.000, 0.000, 0.000), Li at (0.500, 0.500, 0.500), As at (0.500, 0.500, 0.000) and Br at (0.000, 0.500, 0.500).

As for the size of the total moment: 2.999 μB/f.u. For the mass density, the calculation gives 3414 kg/m3.


Stability summary: most stable x, least stable w.


w.
LiReAsBr2 | PBE | relaxed

The structure belongs to space group P4/mmm (No. 123); the cell edges are 5.415, 5.415 and 4.732 Å and the angles 90.00°, 90.00° and 90.00°. The distinct sites, in fractional coordinates, are Li at (0.000, 0.000, 0.000), Re at (0.500, 0.500, 0.500), As at (0.500, 0.500, 0.000) and Br at (0.000, 0.500, 0.500).

As for the size of the total moment: 1.911 μB/f.u. For the mass density, the calculation gives 5120 kg/m3.


x.
LiReAsBr2 | PBE | relaxed

The structure belongs to space group P4/mmm (No. 123); the cell edges are 4.498, 4.498 and 6.203 Å and the angles 90.00°, 90.00° and 90.00°. The distinct sites, in fractional coordinates, are Li at (0.000, 0.000, 0.000), Re at (0.500, 0.500, 0.500), As at (0.000, 0.000, 0.500) and Br at (0.000, 0.500, 0.000).

As for the size of the total moment: 3.405 μB/f.u. For the mass density, the calculation gives 5661 kg/m3.


Stability summary: most stable w, least stable x.


w.
LiAsSBr2 | PBE | relaxed

The structure belongs to space group P4/mmm (No. 123); the cell edges are 5.636, 5.636 and 4.692 Å and the angles 90.00°, 90.00° and 90.00°. The distinct sites, in fractional coordinates, are Li at (0.000, 0.000, 0.000), As at (0.500, 0.500, 0.000), S at (0.500, 0.500, 0.500) and Br at (0.000, 0.500, 0.500).

As for the size of the total moment: 0.005 μB/f.u. For the mass density, the calculation gives 3050 kg/m3.


x.
LiAsSBr2 | PBE | relaxed

The structure belongs to space group P4/mmm (No. 123); the cell edges are 4.397, 4.397 and 9.239 Å and the angles 90.00°, 90.00° and 90.00°. The distinct sites, in fractional coordinates, are Li at (0.000, 0.000, 0.000), As at (0.000, 0.000, 0.500), S at (0.500, 0.500, 0.500) and Br at (0.000, 0.500, 0.000).

As for the size of the total moment: 0.992 μB/f.u. For the mass density, the calculation gives 2545 kg/m3.


Stability summary: most stable w, least stable x.


w.
LiScAsBr2 | PBE | relaxed

The structure belongs to space group P4/mmm (No. 123); the cell edges are 5.336, 5.336 and 5.288 Å and the angles 90.00°, 90.00° and 90.00°. The distinct sites, in fractional coordinates, are Li at (0.000, 0.000, 0.000), Sc at (0.500, 0.500, 0.500), As at (0.500, 0.500, 0.000) and Br at (0.000, 0.500, 0.500).

As for the size of the total moment: 0.921 μB/f.u. For the mass density, the calculation gives 3161 kg/m3.


x.
LiScAsBr2 | PBE | relaxed

The structure belongs to space group P4/mmm (No. 123); the cell edges are 4.652, 4.652 and 5.385 Å and the angles 90.00°, 90.00° and 90.00°. The distinct sites, in fractional coordinates, are Li at (0.000, 0.000, 0.000), Sc at (0.500, 0.500, 0.500), As at (0.000, 0.000, 0.500) and Br at (0.000, 0.500, 0.000).

As for the size of the total moment: 0.903 μB/f.u. For the mass density, the calculation gives 4083 kg/m3.


Stability summary: most stable w, least stable x.


w.
LiSnAsBr | PBE | relaxed

The structure belongs to space group P1 (No. 1); the cell edges are 4.099, 4.106 and 7.310 Å and the angles 89.67°, 89.91° and 60.12°. The distinct sites, in fractional coordinates, are Li at (0.000, 0.000, 0.000), Sn at (0.002, 0.982, 0.517), As at (0.336, 0.314, 0.692) and Br at (0.667, 0.663, 0.128).

As for the size of the total moment: 0.000 μB/f.u. For the mass density, the calculation gives 4367 kg/m3.


x.
LiSnAsBr | PBE | relaxed

The structure belongs to space group P4mm (No. 99); the cell edges are 3.927, 3.927 and 6.457 Å and the angles 90.00°, 90.00° and 90.00°. The distinct sites, in fractional coordinates, are Li at (0.000, 0.000, 0.000), Sn at (0.500, 0.500, 0.523), As at (0.000, 0.000, 0.577) and Br at (0.500, 0.500, 0.065).

As for the size of the total moment: 0.000 μB/f.u. For the mass density, the calculation gives 4677 kg/m3.


Stability summary: most stable w, least stable x.


w.
LiSnAsBr | PBE | relaxed

The structure belongs to space group Cm (No. 8); the cell edges are 6.695, 5.169 and 6.534 Å and the angles 90.00°, 90.90° and 90.00°. The distinct sites, in fractional coordinates, are Li at (0.000, 0.000, 0.000), Sn at (0.141, 0.500, 0.533), As at (0.034, 0.000, 0.585) and Br at (0.120, 0.500, 0.081).

As for the size of the total moment: 0.000 μB/f.u. For the mass density, the calculation gives 4119 kg/m3.


x.
LiSnAsBr | PBE | relaxed

The structure belongs to space group Cm (No. 8); the cell edges are 7.200, 4.164 and 7.951 Å and the angles 90.00°, 107.27° and 90.00°. The distinct sites, in fractional coordinates, are Li at (0.000, 0.000, 0.000), Sn at (0.155, 0.000, 0.476), As at (0.373, 0.500, 0.634) and Br at (0.364, 0.000, 0.095).

As for the size of the total moment: 0.000 μB/f.u. For the mass density, the calculation gives 4092 kg/m3.


Stability summary: most stable x, least stable w.